# 1
Below is a geometry-optimized BPdPbO5 structure, with properties calculated at the PBE-GGA level.

abc: 5.3684 5.3684 7.1329
angles: 104.11 104.11 105.38
Closest atoms and distances in Å follow each position.
Atoms (fractional coordinates):
B1 0.1918 0.8082 0.7500  4 O 1.48-1.54
B2 0.8082 0.1918 0.2500  4 O 1.48-1.54
Pd1 0.5000 0.5000 0.0000  6 O 1.96-2.12
Pd2 0.5000 0.5000 0.5000  6 O 1.96-2.12
Pb1 0.1511 0.8489 0.2500  5 O 2.17-2.43
Pb2 0.8489 0.1511 0.7500  5 O 2.17-2.43
O1 0.0857 0.2472 0.4093  1 B 1.54
O2 0.1799 0.6111 0.8647  1 B 1.48
O3 0.2472 0.0857 0.9093  1 B 1.54
O4 0.3889 0.8201 0.6353  1 B 1.48
O5 0.4053 0.5947 0.2500  2 Pd 1.96, 1 Pb 2.17
O6 0.5947 0.4053 0.7500  2 Pd 1.96, 1 Pb 2.17
O7 0.6111 0.1799 0.3647  1 B 1.48
O8 0.7528 0.9143 0.0907  1 B 1.54
O9 0.8201 0.3889 0.1353  1 B 1.48
O10 0.9143 0.7528 0.5907  1 B 1.54

Values from the calculation:
DOS(E_F) = 6.5 states/eV/cell
Total DFT energy (no corrections) = -6.11 eV/atom
E_form (uncorrected) = -1063.9 meV per atom

# 2
Below is a geometry-optimized TaMn3Sb structure, with properties calculated at the PBE-GGA level.

abc: 4.4876 4.4876 4.4876
angles: 90.00 90.00 90.00
Closest atoms and distances in Å follow each position.
Atoms (fractional coordinates):
Ta1 0.0000 0.0000 0.0000  12 Mn 3.17
Mn1 0.0000 0.5000 0.5000  2 Sb 2.24
Mn2 0.5000 0.0000 0.5000  2 Sb 2.24
Mn3 0.5000 0.5000 0.0000  2 Sb 2.24
Sb1 0.5000 0.5000 0.5000  6 Mn 2.24

Values from the calculation:
DOS(E_F) = 6.6 states/eV/cell
Excess energy over the best structure of this formula in the dataset = 580 meV/atom
Total DFT energy (no corrections) = -6.93 eV/atom
E_form (uncorrected) = 1769.6 meV per atom

# 3
Below is a geometry-optimized FeRe4P structure, with properties calculated at the PBE-GGA level.

abc: 5.1696 5.1696 5.1696
angles: 60.00 60.00 60.00
Closest atoms and distances in Å follow each position.
Atoms (fractional coordinates):
Fe1 0.0000 0.0000 0.0000  12 Re 3.03, 4 P 3.17
Re1 0.3751 0.3751 0.3751  6 Re 2.58-2.59
Re2 0.3751 0.3751 0.8746  6 Re 2.58-2.59
Re3 0.3751 0.8746 0.3751  6 Re 2.58-2.59
Re4 0.8746 0.3751 0.3751  6 Re 2.58-2.59
P1 0.7500 0.7500 0.7500  12 Re 3.03, 4 Fe 3.17

Values from the calculation:
DOS(E_F) = 5.8 states/eV/cell
Total DFT energy (no corrections) = -9.74 eV/atom
ΔE_f = 0.873 eV/atom

# 4
Below is a geometry-optimized PrIn3Au3 structure, with properties calculated at the PBE-GGA level.

abc: 7.4934 7.4934 7.4934
angles: 90.00 90.00 90.00
Closest atoms and distances in Å follow each position.
Atoms (fractional coordinates):
Pr1 0.0000 0.0000 0.0000  12 In 4.19, 12 Au 4.19
Pr2 0.5000 0.5000 0.5000  12 In 4.19, 12 Au 4.19
In1 0.0000 0.2500 0.5000  4 Au 2.65
In2 0.0000 0.7500 0.5000  4 Au 2.65
In3 0.2500 0.5000 0.0000  4 Au 2.65
In4 0.5000 0.0000 0.2500  4 Au 2.65
In5 0.5000 0.0000 0.7500  4 Au 2.65
In6 0.7500 0.5000 0.0000  4 Au 2.65
Au1 0.0000 0.5000 0.2500  4 In 2.65
Au2 0.0000 0.5000 0.7500  4 In 2.65
Au3 0.2500 0.0000 0.5000  4 In 2.65
Au4 0.5000 0.2500 0.0000  4 In 2.65
Au5 0.5000 0.7500 0.0000  4 In 2.65
Au6 0.7500 0.0000 0.5000  4 In 2.65

Values from the calculation:
DOS(E_F) = 9.3 states/eV/cell
Excess energy over the best structure of this formula in the dataset = 422 meV/atom
Total DFT energy (no corrections) = -3.24 eV/atom
ΔE_f = 0.021 eV/atom

# 5
Below is a geometry-optimized Zr4MnPt structure, with properties calculated at the PBE-GGA level.

abc: 5.6032 5.6032 5.6032
angles: 60.00 60.00 60.00
Closest atoms and distances in Å follow each position.
Atoms (fractional coordinates):
Zr1 0.1251 0.1251 0.1251  6 Zr 2.80
Zr2 0.1251 0.1251 0.6248  6 Zr 2.80
Zr3 0.1251 0.6248 0.1251  6 Zr 2.80
Zr4 0.6248 0.1251 0.1251  6 Zr 2.80
Mn1 0.7500 0.7500 0.7500  12 Zr 3.29, 4 Pt 3.43
Pt1 0.5000 0.5000 0.5000  12 Zr 3.29, 4 Mn 3.43

Values from the calculation:
DOS(E_F) = 6.3 states/eV/cell
Total DFT energy (no corrections) = -7.91 eV/atom
ΔE_f = 0.320 eV/atom

# 6
Below is a geometry-optimized Ho7I12N structure, with properties calculated at the PBE-GGA level.

abc: 9.5459 9.5459 9.5459
angles: 108.09 108.09 108.09
Closest atoms and distances in Å follow each position.
Atoms (fractional coordinates):
Ho1 0.0000 0.0000 0.0000  6 I 3.05
Ho2 0.2196 0.4686 0.4052  1 N 2.43
Ho3 0.4052 0.2196 0.4686  1 N 2.43
Ho4 0.4686 0.4052 0.2196  1 N 2.43
Ho5 0.5314 0.5948 0.7804  1 N 2.43
Ho6 0.5948 0.7804 0.5314  1 N 2.43
Ho7 0.7804 0.5314 0.5948  1 N 2.43
I1 0.0356 0.1151 0.3504  3 Ho 3.05-3.07
I2 0.1151 0.3504 0.0356  3 Ho 3.05-3.07
I3 0.1927 0.5784 0.7256  2 Ho 3.03-3.05
I4 0.2744 0.8073 0.4216  2 Ho 3.03-3.05
I5 0.3504 0.0356 0.1151  3 Ho 3.05-3.07
I6 0.4216 0.2744 0.8073  2 Ho 3.03-3.05
I7 0.5784 0.7256 0.1927  2 Ho 3.03-3.05
I8 0.6496 0.9644 0.8849  3 Ho 3.05-3.07
I9 0.7256 0.1927 0.5784  2 Ho 3.03-3.05
I10 0.8073 0.4216 0.2744  2 Ho 3.03-3.05
I11 0.8849 0.6496 0.9644  3 Ho 3.05-3.07
I12 0.9644 0.8849 0.6496  3 Ho 3.05-3.07
N1 0.5000 0.5000 0.5000  6 Ho 2.43

Values from the calculation:
DOS(E_F) = 13.7 states/eV/cell
Total DFT energy (no corrections) = -4.20 eV/atom
E_form (uncorrected) = -1250.5 meV per atom

# 7
Below is a geometry-optimized BaSr2InO structure, with properties calculated at the PBE-GGA level.

abc: 5.2318 5.2318 5.5925
angles: 90.00 90.00 90.00
Closest atoms and distances in Å follow each position.
Atoms (fractional coordinates):
Ba1 0.0000 0.0000 0.0000  2 O 2.80
Sr1 0.0000 0.5000 0.5000  2 O 2.62
Sr2 0.5000 0.0000 0.5000  2 O 2.62
In1 0.5000 0.5000 0.0000  4 Ba 3.70, 8 Sr 3.83
O1 0.0000 0.0000 0.5000  4 Sr 2.62, 2 Ba 2.80

Values from the calculation:
DOS(E_F) = 5.0 states/eV/cell
Total DFT energy (no corrections) = -3.84 eV/atom
E_form (uncorrected) = -1247.4 meV per atom

# 8
Below is a geometry-optimized SbOF3 structure, with properties calculated at the PBE-GGA level.

abc: 7.9084 4.9406 10.1384
angles: 90.00 127.32 90.00
Closest atoms and distances in Å follow each position.
Atoms (fractional coordinates):
Sb1 0.1381 0.0361 0.1823  3 F 1.88-2.04, 2 O 1.97-1.98
Sb2 0.1381 0.4639 0.6823  3 F 1.88-2.04, 2 O 1.97-1.98
Sb3 0.8619 0.5361 0.3177  3 F 1.88-2.04, 2 O 1.97-1.98
Sb4 0.8619 0.9639 0.8177  3 F 1.88-2.04, 2 O 1.97-1.98
O1 0.1142 0.7088 0.5165  2 Sb 1.97-1.98
O2 0.1142 0.7912 0.0165  2 Sb 1.97-1.98
O3 0.8858 0.2088 0.9835  2 Sb 1.97-1.98
O4 0.8858 0.2912 0.4835  2 Sb 1.97-1.98
F1 0.0888 0.2286 0.8209  2 Sb 2.04-2.20
F2 0.0888 0.2714 0.3209  2 Sb 2.04-2.20
F3 0.3295 0.6750 0.8712  1 Sb 1.88
F4 0.3295 0.8250 0.3712  1 Sb 1.88
F5 0.3493 0.2175 0.7273  1 Sb 1.89
F6 0.3493 0.2825 0.2273  1 Sb 1.89
F7 0.6507 0.7175 0.7727  1 Sb 1.89
F8 0.6507 0.7825 0.2727  1 Sb 1.89
F9 0.6705 0.1750 0.6288  1 Sb 1.88
F10 0.6705 0.3250 0.1288  1 Sb 1.88
F11 0.9112 0.7286 0.6791  2 Sb 2.04-2.20
F12 0.9112 0.7714 0.1791  2 Sb 2.04-2.20

Values from the calculation:
DOS(E_F) = 0.0 states/eV/cell
Excess energy over the best structure of this formula in the dataset = 30 meV/atom
Total DFT energy (no corrections) = -4.86 eV/atom
E_form (uncorrected) = -1925.4 meV per atom

no.,size of the total moment (μB/atom)
1,0.000
2,0.000
3,0.572
4,0.000
5,0.593
6,0.000
7,0.000
8,0.009